VASP calculation (PBE) on BaY after structural relaxation. Values from VASP.

Properties
ΔE_f = 1.75 eV/atom
Electronic total energy = -0.180 Ry per atom
DOS(E_F) = 38.451 states/eV per cell
ΔE to the lowest computed polymorph = 1.591 eV/atom
Calculated density = 2.39 g/cm3
Crystal system = cubic

Quantum ESPRESSO input file:
```
&SYSTEM
  ibrav = 0, nat = 12, ntyp = 2
/
ATOMIC_SPECIES
Y 88.91 Y.upf
Ba 137.33 Ba.upf
CELL_PARAMETERS angstrom
9.813 0.000 0.000
0.000 9.813 0.000
0.000 0.000 9.813
ATOMIC_POSITIONS crystal
Y 0.250 0.000 0.500
Y 0.500 0.250 0.000
Y 0.000 0.500 0.250
Y 0.500 0.750 0.000
Y 0.750 0.000 0.500
Y 0.000 0.500 0.750
Ba 0.750 0.500 0.000
Ba 0.500 0.000 0.750
Ba 0.500 0.000 0.250
Ba 0.250 0.500 0.000
Ba 0.000 0.250 0.500
Ba 0.000 0.750 0.500
```